Entry 1:
Below is a relaxed MgBPt3 crystal, with properties calculated at the PBE level.

abc: 4.070 4.070 11.490
angles: 90.00 90.00 120.00
Atoms (fractional coordinates):
Mg  0.000  0.000  0.000
Mg  0.000  0.000  0.500
B  0.333  0.667  0.250
B  0.667  0.333  0.750
Pt  0.000  0.000  0.250
Pt  0.000  0.000  0.750
Pt  0.333  0.667  0.079
Pt  0.333  0.667  0.421
Pt  0.667  0.333  0.579
Pt  0.667  0.333  0.921

Output
E_form = -0.167 eV per atom
Total magnetic moment = 0.0 Bohr magnetons per cell
SG = P6_3/mmc (194)
VASP energy = -0.200 Ha/atom

***

Entry 2:
Below is a relaxed MgBPt3 crystal, with properties calculated at the PBE level.

abc: 3.980 3.980 4.777
angles: 90.00 90.00 90.00
Atoms (fractional coordinates):
Mg  0.000  0.000  0.000
B  0.500  0.500  0.336
Pt  0.000  0.500  0.501
Pt  0.500  0.000  0.501
Pt  0.500  0.500  0.918

Output
E_form = -0.497 eV per atom
Total magnetic moment = 0.0 Bohr magnetons per cell
SG = P4mm (99)
VASP energy = -0.212 Ha/atom

***

Please write out number 2 again, unchanged.
Below is a relaxed MgBPt3 crystal, with properties calculated at the PBE level.

abc: 3.980 3.980 4.777
angles: 90.00 90.00 90.00
Atoms (fractional coordinates):
Mg  0.000  0.000  0.000
B  0.500  0.500  0.336
Pt  0.000  0.500  0.501
Pt  0.500  0.000  0.501
Pt  0.500  0.500  0.918

Output
E_form = -0.497 eV per atom
Total magnetic moment = 0.0 Bohr magnetons per cell
SG = P4mm (99)
VASP energy = -0.212 Ha/atom

***

Copy entry 2 word for word.
Below is a relaxed MgBPt3 crystal, with properties calculated at the PBE level.

abc: 3.980 3.980 4.777
angles: 90.00 90.00 90.00
Atoms (fractional coordinates):
Mg  0.000  0.000  0.000
B  0.500  0.500  0.336
Pt  0.000  0.500  0.501
Pt  0.500  0.000  0.501
Pt  0.500  0.500  0.918

Output
E_form = -0.497 eV per atom
Total magnetic moment = 0.0 Bohr magnetons per cell
SG = P4mm (99)
VASP energy = -0.212 Ha/atom

***

Number 1 is which compound? MgBPt3

***

Which value of E_form does entry 1 give? -0.167 eV per atom